(1)
DFT (PBE) results for a geometry-optimized YIn2Os structure.

The raw total energy comes out at -92.9 eV for the cell shown. The total magnetization is 0.0 Bohr magnetons per cell. The density of states at the Fermi level comes out at 7.0 states/eV/cell.

The space group is Fm-3m (No. 225) and the conventional cell measures 6.877, 6.877 and 6.877 Å, with angles of 90.00, 90.00 and 90.00 degrees. The inequivalent atoms are Y at (0.000, 0.000, 0.000), In at (0.250, 0.250, 0.250) and Os at (0.000, 0.000, 0.500).

=====

(2)
DFT (PBE) results for a geometry-optimized Nb3Co12Os5 structure.

The raw total energy comes out at -1222.4 eV for the cell shown. The total magnetization is 0.0 Bohr magnetons per cell. The density of states at the Fermi level comes out at 210.2 states/eV/cell.

The space group is Ia-3d (No. 230) and the conventional cell measures 13.685, 13.685 and 13.685 Å, with angles of 90.00, 90.00 and 90.00 degrees. The inequivalent atoms are Nb at (0.000, 0.250, 0.125), Co at (0.015, 0.075, 0.650), Os at (0.000, 0.000, 0.000) and Os at (0.000, 0.250, 0.375).

=====

(3)
DFT (PBE) results for a geometry-optimized PmCdSnBi structure.

The energy relative to the lowest polymorph listed for this composition comes out at 247.7 meV/atom. The raw total energy comes out at -57.6 eV for the cell shown. The total magnetization is 0.0 Bohr magnetons per cell. The density of states at the Fermi level comes out at 14.8 states/eV/cell.

The space group is F-43m (No. 216) and the conventional cell measures 7.695, 7.695 and 7.695 Å, with angles of 90.00, 90.00 and 90.00 degrees. The inequivalent atoms are Pm at (0.000, 0.000, 0.000), Cd at (0.000, 0.000, 0.500), Sn at (0.250, 0.250, 0.250) and Bi at (0.250, 0.250, 0.750).

=====

(4)
DFT (PBE) results for a geometry-optimized Be2CdTe structure.

The energy relative to the lowest polymorph listed for this composition comes out at 390.1 meV/atom. The raw total energy comes out at -17.5 eV for the cell shown. The total magnetization is 0.0 Bohr magnetons per cell. The uncorrected formation energy comes out at 693.2 meV per atom. The density of states at the Fermi level comes out at 3.6 states/eV/cell.

The space group is Immm (No. 71) and the conventional cell measures 3.631, 5.334 and 7.670 Å, with angles of 90.00, 90.00 and 90.00 degrees. The inequivalent atoms are Be at (0.000, 0.000, 0.243), Cd at (0.000, 0.500, 0.000) and Te at (0.000, 0.500, 0.500).

=====

(5)
DFT (PBE) results for a geometry-optimized Ca2LaCd5 structure.

The raw total energy comes out at -32.1 eV for the cell shown. The total magnetization is 0.0 Bohr magnetons per cell. The density of states at the Fermi level comes out at 10.1 states/eV/cell.

The space group is I4/mmm (No. 139) and the conventional cell measures 5.351, 5.351 and 15.110 Å, with angles of 90.00, 90.00 and 90.00 degrees. The inequivalent atoms are Ca at (0.000, 0.000, 0.239), La at (0.000, 0.000, 0.500), Cd at (0.000, 0.000, 0.000) and Cd at (0.000, 0.500, 0.123).

=====

(6)
DFT (PBE) results for a geometry-optimized Pr6CdFe2 structure.

The raw total energy comes out at -186.3 eV for the cell shown. The total magnetization is 8.7 Bohr magnetons per cell. The density of states at the Fermi level comes out at 40.1 states/eV/cell.

The space group is Immm (No. 71) and the conventional cell measures 9.837, 10.175 and 10.395 Å, with angles of 90.00, 90.00 and 90.00 degrees. The inequivalent atoms are Pr at (0.000, 0.214, 0.223), Pr at (0.205, 0.500, 0.188), Pr at (0.209, 0.314, 0.500), Cd at (0.000, 0.000, 0.000), Cd at (0.000, 0.000, 0.500), Fe at (0.000, 0.390, 0.000) and Fe at (0.000, 0.500, 0.394).